Entry 1:
Compound: TbZn20Fe2
Source: the Open Quantum Materials Database
Functional: GGA-PBE
Structure: relaxed

Values from the calculation:
crystal system	cubic
energy of formation from the pure elements	-0.14	eV/atom
total energy	-2.16	eV/atom

Cell: 14.0145 14.0145 14.0145 Å, 90.00 90.00 90.00°
Closest atoms and distances in Å follow each position.
Space group Fd-3m (No. 227, origin choice 2)
Unique sites:
Tb 0.1250 0.1250 0.1250 x8  16 Zn 3.03-3.11
Zn 0.0000 0.0000 0.0000 x16  12 Zn 3.00, 2 Tb 3.03
Zn 0.0107 0.3750 0.8750 x48  2 Fe 2.48, 10 Zn 2.63-2.75
Zn 0.0588 0.0588 0.3263 x96  8 Zn 2.62-2.81, 1 Fe 2.70
Fe 0.0000 0.0000 0.5000 x16  12 Zn 2.48-2.70

=====

Entry 2:
Compound: TbZrFe
Source: the Open Quantum Materials Database
Functional: GGA-PBE
Structure: relaxed

Values from the calculation:
crystal system	cubic
energy of formation from the pure elements	0.19	eV/atom
total energy	-6.97	eV/atom

Cell: 6.3947 6.3947 6.3947 Å, 90.00 90.00 90.00°
Closest atoms and distances in Å follow each position.
Space group F-43m (No. 216)
Unique sites:
Tb 0.0000 0.0000 0.0000 x4  4 Fe 2.77
Zr 0.0000 0.0000 0.5000 x4  4 Fe 2.77
Fe 0.2500 0.2500 0.2500 x4  4 Zr 2.77, 4 Tb 2.77

=====

Entry 3:
Compound: FeTc3
Source: the Open Quantum Materials Database
Functional: GGA-PBE
Structure: relaxed

Values from the calculation:
crystal system	tetragonal
energy of formation from the pure elements	0.08	eV/atom
total energy	-9.77	eV/atom

Cell: 3.8007 3.8007 7.5793 Å, 90.00 90.00 90.00°
Closest atoms and distances in Å follow each position.
Space group I4/mmm (No. 139)
Unique sites:
Fe 0.0000 0.0000 0.0000 x2  12 Tc 2.68-2.69
Tc 0.0000 0.0000 0.5000 x2  8 Tc 2.68, 4 Fe 2.69
Tc 0.0000 0.5000 0.2500 x4  4 Fe 2.68, 8 Tc 2.68-2.69

=====

Entry 4:
Compound: FeTc3
Source: the Open Quantum Materials Database
Functional: GGA-PBE
Structure: relaxed

Values from the calculation:
crystal system	cubic
energy of formation from the pure elements	0.07	eV/atom
total energy	-9.78	eV/atom

Cell: 3.7980 3.7980 3.7980 Å, 90.00 90.00 90.00°
Closest atoms and distances in Å follow each position.
Space group Pm-3m (No. 221)
Unique sites:
Fe 0.0000 0.0000 0.0000 x1  12 Tc 2.69
Tc 0.0000 0.5000 0.5000 x3  4 Fe 2.69, 8 Tc 2.69